No. 1
DFT (PBE-GGA) results for a relaxed structure of YbRh6.

Cell and atoms, written as CIF:
```
data_YbRh6
_symmetry_space_group_name_H-M 'I m -3 m'
_symmetry_Int_Tables_number 229
_symmetry_space_group_name_Hall '-I 4 2 3'
_cell_length_a 6.764
_cell_length_b 6.764
_cell_length_c 6.764
_cell_angle_alpha 90.00
_cell_angle_beta 90.00
_cell_angle_gamma 90.00
loop_
_atom_site_label
_atom_site_type_symbol
_atom_site_fract_x
_atom_site_fract_y
_atom_site_fract_z
Yb1 Yb 0.000 0.000 0.000
Rh1 Rh 0.000 0.250 0.500
```

---

No. 2
DFT (PBE-GGA) results for a relaxed structure of Fe2PPb.

Cell and atoms, written as CIF:
```
data_Fe2PPb
_symmetry_space_group_name_H-M 'P 1 2/m 1'
_symmetry_Int_Tables_number 10
_cell_length_a 3.049
_cell_length_b 3.409
_cell_length_c 6.500
_cell_angle_alpha 90.00
_cell_angle_beta 100.20
_cell_angle_gamma 90.00
loop_
_symmetry_equiv_pos_as_xyz
'x,y,z'
'-x,-y,-z'
'-x,y,-z'
'x,-y,z'
loop_
_atom_site_label
_atom_site_type_symbol
_atom_site_fract_x
_atom_site_fract_y
_atom_site_fract_z
Fe1 Fe 0.242 0.000 0.344
P1 P 0.000 0.500 0.500
Pb1 Pb 0.500 0.500 0.000
```

---

No. 3
DFT (PBE-GGA) results for a relaxed structure of Sr3YW.

Results
Energy above the most stable polymorph in this dataset, meV/atom: 1057

Cell and atoms, written as CIF:
```
data_Sr3YW
_symmetry_space_group_name_H-M 'P m -3 m'
_symmetry_Int_Tables_number 221
_symmetry_space_group_name_Hall '-P 4 2 3'
_cell_length_a 5.868
_cell_length_b 5.868
_cell_length_c 5.868
_cell_angle_alpha 90.00
_cell_angle_beta 90.00
_cell_angle_gamma 90.00
loop_
_atom_site_label
_atom_site_type_symbol
_atom_site_fract_x
_atom_site_fract_y
_atom_site_fract_z
Sr1 Sr 0.000 0.000 0.500
Y1 Y 0.000 0.000 0.000
W1 W 0.500 0.500 0.500
```

---

The total energy results, record by record, are as follows: -6.06, -6.27, -2.70 eV/atom.